(1)
A plane-wave DFT calculation with GGA-PBE was carried out for a relaxed structure of Pr2ErTm3Sb6.

Cell: 4.4179 8.8256 9.8669 Å, 102.84 102.94 90.00°
Fractional positions:
Sb  0.0043  0.7517  0.0087
Sb  0.6637  0.5915  0.3273
Sb  0.9957  0.2483  0.9913
Sb  0.3363  0.4085  0.6727
Sb  0.6661  0.0729  0.3321
Sb  0.3339  0.9271  0.6679
Tm  0.8316  0.1658  0.6632
Tm  0.5000  0.5000  0.0000
Tm  0.1684  0.8342  0.3368
Er  0.5000  0.0000  0.0000
Pr  0.1654  0.3321  0.3308
Pr  0.8346  0.6679  0.6692

Results
Its raw formation energy is -1.104 eV/atom. As for the symmetry: C2/m (12). As for the density of states at the Fermi level: 1.9 states/eV per cell. The value obtained for the electronic total energy is -5.460 eV/atom.

=====

(2)
A plane-wave DFT calculation with GGA-PBE was carried out for a relaxed structure of NdMg8Ni4.

Cell: 5.3947 7.1156 7.1156 Å, 81.74 67.72 67.72°
Fractional positions:
Mg  0.0000  0.6621  0.3379
Mg  0.3379  0.6621  0.6621
Mg  0.2792  0.2208  0.2208
Mg  0.5000  0.2208  0.7792
Mg  0.7208  0.7792  0.7792
Mg  0.5000  0.7792  0.2208
Mg  0.6621  0.3379  0.3379
Mg  0.0000  0.3379  0.6621
Ni  0.0000  0.5000  0.0000
Ni  0.0000  0.0000  0.5000
Ni  0.5000  0.5000  0.0000
Ni  0.5000  0.0000  0.5000
Nd  0.0000  0.0000  0.0000

Results
As for the symmetry: I4/mmm (139). The value obtained for the calculated formation energy is -13 kJ/mol of atoms. As for the density of states at the Fermi level: 7.6 states/eV per cell. The value obtained for the electronic total energy is -3.264 eV/atom.

=====

(3)
A plane-wave DFT calculation with GGA-PBE was carried out for a relaxed structure of ScSN3.

Cell: 3.5488 3.5488 3.5488 Å, 90.00 90.00 90.00°
Fractional positions:
N  0.0000  0.5000  0.0000
N  0.5000  0.0000  0.0000
N  0.0000  0.0000  0.5000
Sc  0.5000  0.5000  0.5000
S  0.0000  0.0000  0.0000

Results
Its raw formation energy is 0.615 eV/atom. As for the symmetry: Pm-3m (221). As for the density of states at the Fermi level: 1.5 states/eV per cell. The value obtained for the electronic total energy is -6.472 eV/atom.

=====

(4)
A plane-wave DFT calculation with GGA-PBE was carried out for a relaxed structure of GaNi3Pt6.

Cell: 4.3917 6.8833 10.0658 Å, 90.00 90.00 90.00°
Fractional positions:
Ni  0.0000  0.7135  0.6651
Ni  0.5000  0.2135  0.8349
Ni  0.0000  0.0000  0.5000
Ni  0.5000  0.5000  0.0000
Ni  0.0000  0.2865  0.3349
Ni  0.5000  0.7865  0.1651
Pt  0.0000  0.9497  0.2428
Pt  0.0000  0.4182  0.8769
Pt  0.5000  0.8547  0.9054
Pt  0.5000  0.1453  0.0946
Pt  0.5000  0.9182  0.6231
Pt  0.5000  0.5503  0.7428
Pt  0.0000  0.0503  0.7572
Pt  0.0000  0.3547  0.5946
Pt  0.5000  0.0818  0.3769
Pt  0.0000  0.6453  0.4054
Pt  0.0000  0.5818  0.1231
Pt  0.5000  0.4497  0.2572
Ga  0.5000  0.5000  0.5000
Ga  0.0000  0.0000  0.0000

Results
As for the symmetry: Pnnm (58). The value obtained for the calculated formation energy is -5 kJ/mol of atoms. As for the density of states at the Fermi level: 28.3 states/eV per cell. The value obtained for the electronic total energy is -5.713 eV/atom.

=====

(5)
A plane-wave DFT calculation with GGA-PBE was carried out for a relaxed structure of Ac6HgIr3Pd2.

Cell: 4.3845 8.9470 9.9357 Å, 104.16 102.75 90.00°
Fractional positions:
Pd  0.8350  0.6685  0.6700
Pd  0.1650  0.3315  0.3300
Ac  0.3215  0.9214  0.6431
Ac  0.6642  0.5940  0.3285
Ac  0.6785  0.0786  0.3569
Ac  0.0041  0.7221  0.0081
Ac  0.9959  0.2779  0.9919
Ac  0.3358  0.4060  0.6715
Ir  0.5000  0.5000  0.0000
Ir  0.8356  0.1659  0.6713
Ir  0.1644  0.8341  0.3287
Hg  0.5000  0.0000  0.0000

Results
As for the symmetry: C2/m (12). The value obtained for the calculated formation energy is -62 kJ/mol of atoms. As for the density of states at the Fermi level: 6.6 states/eV per cell. The value obtained for the electronic total energy is -5.802 eV/atom.

=====

(6)
A plane-wave DFT calculation with GGA-PBE was carried out for a relaxed structure of KSb2Mo.

Cell: 5.1407 5.1407 5.1407 Å, 60.00 60.00 60.00°
Fractional positions:
Mo  0.5000  0.5000  0.5000
K  0.0000  0.0000  0.0000
Sb  0.7500  0.7500  0.7500
Sb  0.2500  0.2500  0.2500

Results
Its raw formation energy is 0.455 eV/atom. As for the symmetry: Fm-3m (225). As for the density of states at the Fermi level: 1.5 states/eV per cell. The value obtained for the electronic total energy is -4.589 eV/atom. As for the distance to the lowest polymorph of the same formula: 539.6 meV/atom.

=====

(7)
A plane-wave DFT calculation with GGA-PBE was carried out for a relaxed structure of ScCo3Si.

Cell: 4.3278 4.3278 4.3278 Å, 90.00 90.00 90.00°
Fractional positions:
Co  0.0000  0.0000  0.5000
Co  0.0000  0.5000  0.0000
Co  0.5000  0.0000  0.0000
Si  0.5000  0.5000  0.5000
Sc  0.0000  0.0000  0.0000

Results
Its raw formation energy is 1.410 eV/atom. As for the symmetry: Pm-3m (221). As for the density of states at the Fermi level: 3.4 states/eV per cell. The value obtained for the electronic total energy is -5.204 eV/atom. As for the distance to the lowest polymorph of the same formula: 1399.3 meV/atom.

=====

(8)
A plane-wave DFT calculation with GGA-PBE was carried out for a relaxed structure of Cu4Pd.

Cell: 5.8457 3.7323 6.9298 Å, 122.82 89.95 90.13°
Fractional positions:
Cu  0.0957  0.8040  0.3036
Cu  0.4043  0.1960  0.1964
Cu  0.9043  0.1960  0.6964
Cu  0.1963  0.5956  0.5957
Cu  0.3037  0.4044  0.9043
Cu  0.6963  0.5956  0.0957
Cu  0.5957  0.8040  0.8036
Cu  0.8037  0.4044  0.4043
Pd  0.5000  0.0000  0.5000
Pd  0.0000  0.0000  0.0000

Results
As for the symmetry: P-1 (2). The value obtained for the calculated formation energy is -7 kJ/mol of atoms. As for the density of states at the Fermi level: 3.5 states/eV per cell. The value obtained for the electronic total energy is -4.384 eV/atom. As for the distance to the lowest polymorph of the same formula: 3.4 meV/atom.

=====

(9)
A plane-wave DFT calculation with GGA-PBE was carried out for a relaxed structure of Rb2BaBiCl6.

Cell: 8.1075 8.1075 8.6193 Å, 61.95 61.95 90.00°
Fractional positions:
Rb  0.7500  0.2500  0.5000
Rb  0.2500  0.7500  0.5000
Ba  0.5000  0.5000  0.0000
Cl  0.2375  0.2375  0.0000
Cl  0.7625  0.2375  0.0000
Cl  0.2375  0.7625  0.0000
Cl  0.7331  0.7331  0.5338
Cl  0.7625  0.7625  0.0000
Cl  0.2669  0.2669  0.4662
Bi  0.0000  0.0000  0.0000

Results
Its raw formation energy is -1.627 eV/atom. As for the symmetry: I4/mmm (139). As for the density of states at the Fermi level: 0.0 states/eV per cell. The value obtained for the electronic total energy is -3.509 eV/atom.

=====

(10)
A plane-wave DFT calculation with GGA-PBE was carried out for a relaxed structure of TlSbAs3.

Cell: 5.3545 5.3545 5.3545 Å, 90.00 90.00 90.00°
Fractional positions:
As  0.0000  0.5000  0.0000
As  0.5000  0.0000  0.0000
As  0.0000  0.0000  0.5000
Sb  0.0000  0.0000  0.0000
Tl  0.5000  0.5000  0.5000

Results
Its raw formation energy is 0.694 eV/atom. As for the symmetry: Pm-3m (221). As for the density of states at the Fermi level: 5.7 states/eV per cell. The value obtained for the electronic total energy is -3.393 eV/atom. As for the distance to the lowest polymorph of the same formula: 0.0 meV/atom.

=====

(11)
A plane-wave DFT calculation with GGA-PBE was carried out for a relaxed structure of Sc2AlVN.

Cell: 4.4591 4.4591 3.9207 Å, 90.00 90.00 90.00°
Fractional positions:
Sc  0.5000  0.0000  0.0000
Sc  0.0000  0.5000  0.0000
N  0.0000  0.0000  0.0000
Al  0.5000  0.5000  0.5000
V  0.0000  0.0000  0.5000

Results
Its raw formation energy is -0.881 eV/atom. As for the symmetry: P4/mmm (123). As for the density of states at the Fermi level: 2.9 states/eV per cell. The value obtained for the electronic total energy is -7.651 eV/atom.

=====

(12)
A plane-wave DFT calculation with GGA-PBE was carried out for a relaxed structure of WS3N.

Cell: 4.0137 4.0137 4.0137 Å, 90.00 90.00 90.00°
Fractional positions:
S  0.0000  0.5000  0.0000
S  0.0000  0.0000  0.5000
S  0.5000  0.0000  0.0000
W  0.5000  0.5000  0.5000
N  0.0000  0.0000  0.0000

Results
Its raw formation energy is 1.289 eV/atom. As for the symmetry: Pm-3m (221). As for the density of states at the Fermi level: 2.8 states/eV per cell. The value obtained for the electronic total energy is -5.443 eV/atom. As for the distance to the lowest polymorph of the same formula: 255.6 meV/atom.

=====

Among the records above, which one has the highest electronic total energy? NdMg8Ni4

=====

Copy entry 2 word for word.
A plane-wave DFT calculation with GGA-PBE was carried out for a relaxed structure of NdMg8Ni4.

Cell: 5.3947 7.1156 7.1156 Å, 81.74 67.72 67.72°
Fractional positions:
Mg  0.0000  0.6621  0.3379
Mg  0.3379  0.6621  0.6621
Mg  0.2792  0.2208  0.2208
Mg  0.5000  0.2208  0.7792
Mg  0.7208  0.7792  0.7792
Mg  0.5000  0.7792  0.2208
Mg  0.6621  0.3379  0.3379
Mg  0.0000  0.3379  0.6621
Ni  0.0000  0.5000  0.0000
Ni  0.0000  0.0000  0.5000
Ni  0.5000  0.5000  0.0000
Ni  0.5000  0.0000  0.5000
Nd  0.0000  0.0000  0.0000

Results
As for the symmetry: I4/mmm (139). The value obtained for the calculated formation energy is -13 kJ/mol of atoms. As for the density of states at the Fermi level: 7.6 states/eV per cell. The value obtained for the electronic total energy is -3.264 eV/atom.

=====

Which of these has the highest electronic total energy? NdMg8Ni4